VASP calculation (PBE-GGA) on a relaxed structure of TaB2F2.

- ΔE_f (raw) (eV/atom) = 0.081
- crystal system = tetragonal
- VASP energy (eV per atom) = -5.709
- V (Å³ per cell) = 51
- offset from the most stable computed form (meV/atom) = 0

a = 3.260 Å, b = 3.260 Å, c = 5.282 Å
α = 72.03°, β = 72.03°, γ = 90.00°
Positions (direct):
B: 0.414 0.414 0.171
B: 0.586 0.586 0.829
F: 0.750 0.250 0.500
F: 0.250 0.750 0.500
Ta: 0.000 0.000 0.000